1.
This record from the Alexandria database describes a geometry-optimized PmCd2Rh6 structure. The functional is PBE.

```
PmCd2Rh6
1.0
0.0000 4.4503 4.4503
4.4503 0.0000 4.4503
4.4503 4.4503 0.0000
Pm Cd Rh
1 2 6
direct
0.0000 0.0000 0.0000 Pm
0.2500 0.2500 0.2500 Cd
0.7500 0.7500 0.7500 Cd
0.2947 0.2947 0.7053 Rh
0.2947 0.7053 0.2947 Rh
0.2947 0.7053 0.7053 Rh
0.7053 0.2947 0.2947 Rh
0.7053 0.2947 0.7053 Rh
0.7053 0.7053 0.2947 Rh
```

energy: -47.177 eV for the cell shown
space group: No. 225
size of the total moment: 0.0 μB/f.u.

***

2.
This record from the Alexandria database describes a geometry-optimized LaTiTe structure. The functional is PBE.

```
LaTiTe
1.0
4.2853 0.0000 0.0000
0.0000 4.2853 0.0000
0.0000 0.0000 8.3641
La Ti Te
2 2 2
direct
0.2500 0.2500 0.1481 La
0.7500 0.7500 0.8519 La
0.2500 0.7500 0.5000 Ti
0.7500 0.2500 0.5000 Ti
0.2500 0.2500 0.7272 Te
0.7500 0.7500 0.2728 Te
```

space group: No. 129
size of the total moment: 0.0 μB/f.u.
formation energy (no corrections): -2.342 eV/f.u.

***

3.
This record from the Alexandria database describes a geometry-optimized NiSn2BiPb structure. The functional is PBE.

```
NiSn2BiPb
1.0
4.9158 0.0000 0.0000
0.0000 4.9158 0.0000
0.0000 0.0000 5.7085
Ni Sn Bi Pb
1 2 1 1
direct
0.0000 0.0000 0.0000 Ni
0.0000 0.5000 0.0000 Sn
0.5000 0.0000 0.0000 Sn
0.0000 0.0000 0.5000 Bi
0.5000 0.5000 0.5000 Pb
```

offset from the most stable computed form: 0.242 eV per formula unit
space group: No. 123
size of the total moment: 0.0 μB/f.u.

***

4.
This record from the Alexandria database describes a geometry-optimized La6CuS2Br3 structure. The functional is PBE.

```
La6CuS2Br3
1.0
3.5879 -6.2224 0.0000
3.5879 6.2224 0.0000
-2.3740 0.0000 7.5735
La Cu S Br
6 1 2 3
direct
0.0875 0.4289 0.7862 La
0.2297 0.2297 0.2113 La
0.4289 0.0875 0.7862 La
0.5711 0.9125 0.2138 La
0.7703 0.7703 0.7887 La
0.9125 0.5711 0.2138 La
0.5000 0.5000 0.0000 Cu
0.1672 0.8328 0.0000 S
0.8328 0.1672 0.0000 S
0.0000 0.0000 0.5000 Br
0.3369 0.6631 0.5000 Br
0.6631 0.3369 0.5000 Br
```

space group: No. 12
size of the total moment: 0.0 μB/f.u.
formation energy (no corrections): -16.965 eV/f.u.

***

5.
This record from the Alexandria database describes a geometry-optimized MgNiSe4 structure. The functional is PBE.

```
MgNiSe4
1.0
0.0000 3.9990 3.9990
3.9990 0.0000 3.9990
3.9990 3.9990 0.0000
Mg Ni Se
1 1 4
direct
0.0000 0.0000 0.0000 Mg
0.7500 0.7500 0.7500 Ni
0.3755 0.3755 0.3755 Se
0.3755 0.3755 0.8736 Se
0.3755 0.8736 0.3755 Se
0.8736 0.3755 0.3755 Se
```

space group: No. 216
size of the total moment: 0.7 μB/f.u.
formation energy (no corrections): 3.601 eV/f.u.

***

6.
This record from the Alexandria database describes a geometry-optimized PaRuSe structure. The functional is PBE.

```
PaRuSe
1.0
3.8916 0.0000 0.0000
0.0000 5.5704 0.0000
-1.7136 0.0000 5.9156
Pa Ru Se
2 2 2
direct
0.1134 0.2500 0.2276 Pa
0.8866 0.7500 0.7724 Pa
0.3893 0.2500 0.9370 Ru
0.6107 0.7500 0.0630 Ru
0.2028 0.7500 0.3961 Se
0.7972 0.2500 0.6039 Se
```

offset from the most stable computed form: 0.000 eV per formula unit
space group: No. 11
size of the total moment: 0.0 μB/f.u.
formation energy (no corrections): -2.390 eV/f.u.

***

7.
This record from the Alexandria database describes a geometry-optimized CrBTeN2 structure. The functional is PBE.

```
CrBTeN2
1.0
3.5959 0.0000 0.0000
0.0000 3.5959 0.0000
0.0000 0.0000 5.5258
Cr B Te N
1 1 1 2
direct
0.0000 0.0000 0.0000 Cr
0.5000 0.5000 0.5000 B
0.0000 0.0000 0.5000 Te
0.0000 0.5000 0.0000 N
0.5000 0.0000 0.0000 N
```

offset from the most stable computed form: 0.000 eV per formula unit
space group: No. 123
size of the total moment: 0.0 μB/f.u.
formation energy (no corrections): 5.046 eV/f.u.

***

8.
This record from the Alexandria database describes a geometry-optimized AcSmPb2 structure. The functional is PBE.

```
AcSmPb2
1.0
3.7557 0.0000 0.0000
0.0000 3.7557 0.0000
0.0000 0.0000 9.2017
Ac Sm Pb
1 1 2
direct
0.0000 0.0000 0.0000 Ac
0.0000 0.0000 0.5000 Sm
0.5000 0.5000 0.2640 Pb
0.5000 0.5000 0.7360 Pb
```

energy: -18.157 eV for the cell shown
space group: No. 123
size of the total moment: 0.0 μB/f.u.

***

9.
This record from the Alexandria database describes a geometry-optimized NbPSeS2 structure. The functional is PBE.

```
NbPSeS2
1.0
4.6684 0.0000 0.0000
0.0000 4.6684 0.0000
0.0000 0.0000 5.2003
Nb P Se S
1 1 1 2
direct
0.0000 0.0000 0.0000 Nb
0.0000 0.0000 0.5000 P
0.5000 0.5000 0.5000 Se
0.0000 0.5000 0.0000 S
0.5000 0.0000 0.0000 S
```

offset from the most stable computed form: 0.000 eV per formula unit
space group: No. 123
size of the total moment: 0.6 μB/f.u.
formation energy (no corrections): 1.247 eV/f.u.

***

10.
This record from the Alexandria database describes a geometry-optimized NaMg3Cd9 structure. The functional is PBE.

```
NaMg3Cd9
1.0
3.0204 -7.1485 0.0000
3.0204 7.1485 0.0000
-2.7969 0.0000 7.0529
Na Mg Cd
1 3 9
direct
0.0000 0.0000 0.0000 Na
0.0000 0.0000 0.5000 Mg
0.0000 0.5000 0.0000 Mg
0.5000 0.0000 0.0000 Mg
0.0139 0.6657 0.6538 Cd
0.2794 0.4961 0.7857 Cd
0.3343 0.9861 0.3462 Cd
0.4961 0.2794 0.7857 Cd
0.5000 0.5000 0.5000 Cd
0.5039 0.7206 0.2143 Cd
0.6657 0.0139 0.6538 Cd
0.7206 0.5039 0.2143 Cd
0.9861 0.3343 0.3462 Cd
```

energy: -15.098 eV for the cell shown
space group: No. 12
size of the total moment: 0.0 μB/f.u.

***

11.
This record from the Alexandria database describes a geometry-optimized Cu2PtPb structure. The functional is PBE.

```
Cu2PtPb
1.0
4.0172 0.0000 0.0000
0.0000 4.0172 0.0000
0.0000 0.0000 8.1400
Cu Pt Pb
4 2 2
direct
0.0000 0.5000 0.2500 Cu
0.0000 0.5000 0.7500 Cu
0.5000 0.0000 0.2500 Cu
0.5000 0.0000 0.7500 Cu
0.0000 0.0000 0.0000 Pt
0.5000 0.5000 0.5000 Pt
0.0000 0.0000 0.5000 Pb
0.5000 0.5000 0.0000 Pb
```

energy: -35.287 eV for the cell shown
space group: No. 139
size of the total moment: 0.0 μB/f.u.

***

12.
This record from the Alexandria database describes a geometry-optimized Ac2Ce2Pb7 structure. The functional is PBE.

```
Ac2Ce2Pb7
1.0
5.2264 -5.9318 0.0000
5.2264 5.9318 0.0000
0.0000 0.0000 6.7814
Ac Ce Pb
2 2 7
direct
0.1940 0.1940 0.0000 Ac
0.8060 0.8060 0.0000 Ac
0.2670 0.7330 0.5000 Ce
0.7330 0.2670 0.5000 Ce
0.0000 0.0000 0.5000 Pb
0.0000 0.5000 0.2333 Pb
0.0000 0.5000 0.7667 Pb
0.5000 0.0000 0.2333 Pb
0.5000 0.0000 0.7667 Pb
0.5000 0.5000 0.2299 Pb
0.5000 0.5000 0.7701 Pb
```

energy: -46.486 eV for the cell shown
space group: No. 65
size of the total moment: 1.7 μB/f.u.

***

13.
This record from the Alexandria database describes a geometry-optimized LiScCr2 structure. The functional is PBE.

```
LiScCr2
1.0
2.5319 0.0000 0.0000
0.0000 4.6000 0.0000
0.0000 0.0000 5.0211
Li Sc Cr
1 1 2
direct
0.0000 0.0000 0.0000 Li
0.0000 0.0000 0.5000 Sc
0.5000 0.5000 0.2693 Cr
0.5000 0.5000 0.7307 Cr
```

offset from the most stable computed form: 1.224 eV per formula unit
space group: No. 47
size of the total moment: 0.0 μB/f.u.

***

14.
This record from the Alexandria database describes a geometry-optimized BaLi2In structure. The functional is PBE.

```
BaLi2In
1.0
3.8967 0.0000 0.0000
0.0000 3.8967 0.0000
0.0000 0.0000 7.6762
Ba Li In
1 2 1
direct
0.0000 0.0000 0.0000 Ba
0.5000 0.5000 0.3257 Li
0.5000 0.5000 0.6743 Li
0.0000 0.0000 0.5000 In
```

energy: -8.850 eV for the cell shown
space group: No. 123
size of the total moment: 0.0 μB/f.u.

***

15.
This record from the Alexandria database describes a geometry-optimized CsCuMo2Cl structure. The functional is PBE.

```
CsCuMo2Cl
1.0
6.2371 0.0000 0.0000
0.0000 6.2371 0.0000
0.0000 0.0000 5.8734
Cs Cu Mo Cl
1 1 2 1
direct
0.0000 0.0000 0.0000 Cs
0.5000 0.5000 0.5000 Cu
0.0000 0.5000 0.0000 Mo
0.5000 0.0000 0.0000 Mo
0.0000 0.0000 0.5000 Cl
```

space group: No. 123
size of the total moment: 10.9 μB/f.u.
formation energy (no corrections): 12.673 eV/f.u.

***

16.
This record from the Alexandria database describes a geometry-optimized LiY2Fe structure. The functional is PBE.

```
LiY2Fe
1.0
7.0123 0.0000 0.0000
0.0000 7.0123 0.0000
0.0000 0.0000 7.0123
Li Y Fe
4 8 4
direct
0.0000 0.0000 0.0000 Li
0.0000 0.5000 0.5000 Li
0.5000 0.0000 0.5000 Li
0.5000 0.5000 0.0000 Li
0.0000 0.0000 0.5000 Y
0.0000 0.5000 0.0000 Y
0.2500 0.2500 0.2500 Y
0.2500 0.7500 0.7500 Y
0.5000 0.0000 0.0000 Y
0.5000 0.5000 0.5000 Y
0.7500 0.2500 0.7500 Y
0.7500 0.7500 0.2500 Y
0.2500 0.2500 0.7500 Fe
0.2500 0.7500 0.2500 Fe
0.7500 0.2500 0.2500 Fe
0.7500 0.7500 0.7500 Fe
```

energy: -86.289 eV for the cell shown
space group: No. 216
size of the total moment: 2.0 μB/f.u.

***

17.
This record from the Alexandria database describes a geometry-optimized Li6AcCd6 structure. The functional is PBE.

```
Li6AcCd6
1.0
-2.6930 5.0499 5.0866
2.6930 -5.0499 5.0866
2.6930 5.0499 -5.0866
Li Ac Cd
6 1 6
direct
0.0000 0.0000 0.5000 Li
0.0000 0.5000 0.0000 Li
0.2305 0.0000 0.2305 Li
0.5000 0.0000 0.0000 Li
0.5000 0.5000 0.5000 Li
0.7695 0.0000 0.7695 Li
0.0000 0.5000 0.5000 Ac
0.2086 0.2086 0.0000 Cd
0.3477 0.5000 0.8477 Cd
0.3529 0.8529 0.5000 Cd
0.6471 0.1471 0.5000 Cd
0.6523 0.5000 0.1523 Cd
0.7914 0.7914 0.0000 Cd
```

energy: -23.800 eV for the cell shown
space group: No. 71
size of the total moment: 0.0 μB/f.u.

***

18.
This record from the Alexandria database describes a geometry-optimized DyHo2Au structure. The functional is PBE.

```
DyHo2Au
1.0
4.7007 0.0000 0.0000
0.0000 4.7007 0.0000
0.0000 0.0000 4.7020
Dy Ho Au
1 2 1
direct
0.0000 0.0000 0.0000 Dy
0.0000 0.5000 0.5000 Ho
0.5000 0.0000 0.5000 Ho
0.5000 0.5000 0.0000 Au
```

offset from the most stable computed form: 0.799 eV per formula unit
space group: No. 123
size of the total moment: 0.0 μB/f.u.

***

19.
This record from the Alexandria database describes a geometry-optimized CuReOs2 structure. The functional is PBE.

```
CuReOs2
1.0
2.7366 0.0000 0.0000
0.0000 3.8268 0.0000
0.0000 0.0000 5.3562
Cu Re Os
1 1 2
direct
0.0000 0.0000 0.0000 Cu
0.0000 0.0000 0.5000 Re
0.5000 0.5000 0.2408 Os
0.5000 0.5000 0.7592 Os
```

offset from the most stable computed form: 0.221 eV per formula unit
space group: No. 47
size of the total moment: 0.0 μB/f.u.

***

20.
This record from the Alexandria database describes a geometry-optimized Li2AcWN4 structure. The functional is PBE.

```
Li2AcWN4
1.0
7.9289 0.0000 0.0000
0.0000 5.3798 0.0000
0.0000 0.0000 5.3278
Li Ac W N
4 2 2 8
direct
0.2452 0.2100 0.0000 Li
0.2548 0.7900 0.5000 Li
0.7452 0.7900 0.5000 Li
0.7548 0.2100 0.0000 Li
0.0000 0.2205 0.4975 Ac
0.5000 0.7795 0.9975 Ac
0.0000 0.7009 0.0106 W
0.5000 0.2991 0.5106 W
0.0000 0.3545 0.9647 N
0.0000 0.7332 0.3613 N
0.1942 0.8480 0.8695 N
0.3058 0.1520 0.3695 N
0.5000 0.2668 0.8613 N
0.5000 0.6455 0.4647 N
0.6942 0.1520 0.3695 N
0.8058 0.8480 0.8695 N
```

space group: No. 31
size of the total moment: 1.0 μB/f.u.
formation energy (no corrections): -5.690 eV/f.u.